No. 1
An optimized crystal structure of CeU2P2Rh7. Source: Alexandria via LeMat-Bulk, functional PBE.

energy of formation from the pure elements	-0.73	eV/atom

Cell and atoms, written as POSCAR:
```
CeU2P2Rh7
1.0
3.961 0.022 -0.121
0.027 3.961 -0.121
1.506 1.504 13.017
Ce U P Rh
1 2 2 7
direct
0.000 0.000 0.000 Ce
0.904 0.904 0.353 U
0.096 0.096 0.647 U
0.571 0.571 0.739 P
0.429 0.429 0.261 P
0.500 0.500 0.000 Rh
0.323 0.323 0.438 Rh
0.677 0.677 0.562 Rh
0.954 0.453 0.168 Rh
0.453 0.954 0.168 Rh
0.547 0.046 0.832 Rh
0.046 0.547 0.832 Rh
```


No. 2
An optimized crystal structure of CuTc2Br. Source: Alexandria via LeMat-Bulk, functional PBE.

ΔE_f (raw)	0.958	eV/atom
ΔE to the lowest computed polymorph	602.5	meV/atom

Cell and atoms, written as POSCAR:
```
CuTc2Br
1.0
-1.352 2.264 0.836
-0.514 -0.866 -2.576
-6.836 -5.238 3.127
Br Cu Tc
1 1 2
direct
0.500 0.500 0.250 Br
0.500 0.500 0.750 Cu
0.000 0.000 0.987 Tc
0.000 0.000 0.513 Tc
```


Q: Which uncorrected energy values were calculated for the entries above? A: -8.298 -5.667, in eV/atom.
Q: Which V values were calculated for the entries above? A: 206 63, in Å³ per cell.